DFT (PBE-GGA) results for a relaxed Pm12Fe3Pb5 crystal.

Calculated values
- DFT total energy (eV per formula unit) = -93.982
- calculated volume (Å³ per atom) = 35.3

a b c (Å): 17.803 17.803 17.803
angles (deg): 90.00 90.00 90.00
Space group Ia-3d (No. 230)
Unique sites:
Pm  0.019  0.089  0.648 [96 per cell]
Fe  0.000  0.250  0.125 [24 per cell]
Pb  0.000  0.000  0.000 [16 per cell]
Pb  0.000  0.250  0.375 [24 per cell]

---

DFT (PBE-GGA) results for a relaxed Ni2AsPb crystal.

Calculated values
- DFT total energy (eV per formula unit) = -19.590
- calculated volume (Å³ per atom) = 16.7

a b c (Å): 3.137 3.134 6.938
angles (deg): 90.00 100.88 90.00
Space group P2/m (No. 10)
Unique sites:
Ni  0.072  0.000  0.184 [2 per cell]
As  0.500  0.500  0.000 [1 per cell]
Pb  0.500  0.500  0.500 [1 per cell]

---

DFT (PBE-GGA) results for a relaxed CeDy2Y crystal.

Calculated values
- E above lowest polymorph (meV per atom) = 150
- calculated volume (Å³ per atom) = 32.2

a b c (Å): 8.013 8.013 8.013
angles (deg): 90.00 90.00 90.00
Space group Fm-3m (No. 225)
Unique sites:
Ce  0.000  0.000  0.000 [4 per cell]
Dy  0.250  0.250  0.250 [8 per cell]
Y  0.000  0.000  0.500 [4 per cell]

---

DFT (PBE-GGA) results for a relaxed YTm2Te crystal.

Calculated values
- ΔE_f (raw) (eV per atom) = -0.1698
- E above lowest polymorph (meV per atom) = 467
- calculated volume (Å³ per atom) = 32.9

a b c (Å): 3.7542 3.7542 32.3313
angles (deg): 90.00 90.00 120.00
Space group R-3m (No. 166, hexagonal axes)
Unique sites:
Y  0.0000  0.0000  0.0000 [3 per cell]
Tm  0.0000  0.0000  0.1024 [6 per cell]
Te  0.0000  0.0000  0.5000 [3 per cell]

---

DFT (PBE-GGA) results for a relaxed NpIn2Pt2 crystal.

Calculated values
- DFT total energy (eV per formula unit) = -32.719
- calculated volume (Å³ per atom) = 22.7

a b c (Å): 4.978 4.558 10.016
angles (deg): 90.00 93.84 90.00
Space group P2_1/m (No. 11)
Unique sites:
Np  0.205  0.250  0.158 [2 per cell]
In  0.253  0.250  0.505 [2 per cell]
In  0.282  0.250  0.804 [2 per cell]
Pt  0.229  0.750  0.341 [2 per cell]
Pt  0.308  0.750  0.971 [2 per cell]

---

DFT (PBE-GGA) results for a relaxed Ta2Nb3H5 crystal.

Calculated values
- DFT total energy (eV per formula unit) = -69.875
- calculated volume (Å³ per atom) = 10.9

a b c (Å): 7.274 11.154 5.392
angles (deg): 90.00 90.00 90.00
Space group Ibam (No. 72)
Unique sites:
Ta  0.209  0.192  0.000 [8 per cell]
Nb  0.000  0.500  0.250 [4 per cell]
Nb  0.149  0.081  0.500 [8 per cell]
H  0.000  0.000  0.250 [4 per cell]
H  0.000  0.186  0.250 [8 per cell]
H  0.024  0.366  0.500 [8 per cell]